(1)
Compound: Ba2Tc2P2N
Source: Alexandria
Functional: PBE
Structure: optimized geometry

a b c (Å): 4.018 6.126 6.930
angles (deg): 71.03 73.15 70.86
Positions (direct):
P1 0.802 0.633 0.764
Tc1 0.816 0.305 0.062
Ba1 0.435 0.803 0.327
Tc2 0.184 0.695 0.938
P2 0.198 0.367 0.236
N1 0.000 0.000 0.000
Ba2 0.565 0.197 0.673

Calculated values
DOS(E_F), states/eV/atom: 0.515
SG: C2/m, No. 12
Energy relative to the elements, uncorrected, eV per formula unit: -5.62
Energy, eV/atom: -7.05

(2)
Compound: PrPaZnTc
Source: Alexandria
Functional: PBE
Structure: optimized geometry

a b c (Å): 5.017 5.017 5.017
angles (deg): 60.00 60.00 60.00
Positions (direct):
Tc1 0.250 0.250 0.250
Pa1 0.500 0.500 0.500
Pr1 0.000 0.000 0.000
Zn1 0.750 0.750 0.750

Calculated values
DOS(E_F), states/eV/atom: 0.983
SG: F-43m, No. 216
Energy, eV/atom: -6.42
E_form, eV per atom: 0.06